The following is a SCAN calculation of a PBEsol-optimized structure of CsNiAsSe2, from the Alexandria database.

Cell: 5.1026 5.1026 4.4813 Å, 90.00 90.00 90.00°
Atoms (fractional coordinates):
Cs 0.0000 0.0000 0.0000
Ni 0.5000 0.5000 0.5000
As 0.5000 0.5000 0.0000
Se 0.0000 0.5000 0.5000
Se 0.5000 0.0000 0.5000

Computed properties:
* calculated total energy: -22.965 eV/atom
* total moment: 0.00 μB/f.u.
* formation energy (no corrections): -0.099 eV per atom
* N(E_F): 3.2 states/eV per cell